No. 1
DFT (PBE) results for MgAl2Bi2 after structural relaxation.

Calculated values
The calculation puts the calculated formation energy at 0.15 eV/atom. The value obtained for the distance to the lowest polymorph of the same formula is 2 meV/atom. Its symmetry is I4/mmm.

a b c (Å): 3.7559 3.7559 9.5141
angles (deg): 78.62 78.62 90.00
Element x y z (fractional)
1 Al 0.2500 0.7500 0.5000
2 Al 0.7500 0.2500 0.5000
3 Mg 0.0000 0.0000 0.0000
4 Bi 0.3985 0.3985 0.2030
5 Bi 0.6015 0.6015 0.7970


No. 2
DFT (PBE) results for Mg2AlBi after structural relaxation.

Calculated values
The calculation puts the calculated formation energy at 0.03 eV/atom. The value obtained for the distance to the lowest polymorph of the same formula is 27 meV/atom. Its symmetry is P4/mmm.

a b c (Å): 3.6689 3.6689 7.0052
angles (deg): 90.00 90.00 90.00
Element x y z (fractional)
1 Al 0.5000 0.5000 0.0000
2 Bi 0.5000 0.5000 0.5000
3 Mg 0.0000 0.0000 0.2203
4 Mg 0.0000 0.0000 0.7797


No. 3
DFT (PBE) results for Mg2AlBi after structural relaxation.

Calculated values
The calculation puts the calculated formation energy at 0.06 eV/atom. The value obtained for the distance to the lowest polymorph of the same formula is 65 meV/atom. Its symmetry is R3m.

a b c (Å): 4.5451 4.5451 6.4575
angles (deg): 69.40 69.40 60.00
Element x y z (fractional)
1 Al 0.6647 0.6647 0.0060
2 Mg 0.2617 0.2617 0.2148
3 Mg 0.0716 0.0716 0.7853
4 Bi 0.5020 0.5020 0.4939


Question: What is the calculated formation energy in the first record?
Answer: 0.15 eV/atom


Question: The lowest calculated formation energy belongs to which entry?
Answer: number 2


Question: Which formula does entry 2 have?
Answer: Mg2AlBi


Question: Which value of distance to the lowest polymorph of the same formula does entry 1 give?
Answer: 2 meV/atom